First-principles (PBE) data for a relaxed Dy2Ga2Au3 crystal, as listed in Alexandria.

Calculated values
- Distance to the lowest polymorph of the same formula: 0.020 eV/atom
- Density: 11.78 g cm⁻³
- Energy of formation from the pure elements: -0.6796 eV per atom
- V: 148.8 Å³/f.u.

Cell lengths 4.1527, 19.7948, 7.2406 Å; angles 90.00, 90.00, 90.00 degrees
Space group Cmcm (No. 63)
One atom of each set of equivalent atoms:
Dy (0.0000, 0.0553, 0.2500)
Dy (0.0000, 0.1548, 0.7500)
Ga (0.0000, 0.3095, 0.5523)
Au (0.0000, 0.2243, 0.2500)
Au (0.0000, 0.4351, 0.0548)

---

First-principles (PBE) data for a relaxed NdP3Ir6 crystal, as listed in Alexandria.

Calculated values
- Density: 14.62 g cm⁻³
- Energy of formation from the pure elements: -0.4994 eV per atom
- V: 158.0 Å³/f.u.

Cell lengths 5.5136, 5.5422, 6.1831 Å; angles 75.72, 88.97, 60.40 degrees
Space group P1 (No. 1)
One atom of each set of equivalent atoms:
Nd (0.0000, 0.0000, 0.0000)
P (0.0850, 0.8366, 0.4897)
P (0.3535, 0.3012, 0.0869)
P (0.6760, 0.6483, 0.0946)
Ir (0.0652, 0.2868, 0.3912)
Ir (0.4600, 0.0743, 0.7912)
Ir (0.4730, 0.5763, 0.7906)
Ir (0.4828, 0.4498, 0.3772)
Ir (0.6432, 0.8719, 0.3857)
Ir (0.9663, 0.5731, 0.8043)

---

no.,raw total energy (eV per cell)
1,-119.4
2,-79.2